DFT (meta-GGA SCAN) results for a crystal of ScIn4 relaxed with PBEsol.

Computed properties:
electronic total energy = -148.85 eV per cell

Lattice parameters (Å, degrees): 4.2419 5.6256 5.6256 81.83 67.85 67.85
Fractional positions:
In1 0.7985 0.5959 0.8072
In2 0.3943 0.8072 0.4041
In3 0.6057 0.1928 0.5959
In4 0.2015 0.4041 0.1928
Sc1 0.0000 0.0000 0.0000